HoPd2 | PBE-GGA | relaxed

Values from the calculation:
- V (Å³ per atom) = 20.47
- E_tot (eV/cell) = -34.2
- DOS(E_F) (states/eV per cell) = 3.35
- ΔH_f (0 K) (eV per atom) = -0.7113
- theoretical density (g cm⁻³) = 10.22

Unit cell a=3.837 b=5.265 c=7.089 alpha=68.75 beta=74.53 gamma=68.64
Positions (direct):
Ho  0.130  0.491  0.247
Ho  0.870  0.509  0.753
Pd  0.138  0.889  0.839
Pd  0.372  0.807  0.446
Pd  0.628  0.193  0.554
Pd  0.862  0.111  0.161

---

Nd12Hg6Pt | PBE-GGA | relaxed

Values from the calculation:
- V (Å³ per atom) = 31.96
- E_tot (eV/cell) = -70.7
- DOS(E_F) (states/eV per cell) = 24.91
- ΔH_f (0 K) (eV per atom) = -0.2963
- theoretical density (g cm⁻³) = 8.56

Unit cell a=8.490 b=8.490 c=8.490 alpha=94.01 beta=94.01 gamma=94.01
Positions (direct):
Nd  0.042  0.700  0.930
Nd  0.070  0.958  0.300
Nd  0.178  0.533  0.407
Nd  0.300  0.070  0.958
Nd  0.407  0.178  0.534
Nd  0.466  0.593  0.822
Nd  0.534  0.407  0.178
Nd  0.593  0.822  0.466
Nd  0.700  0.930  0.042
Nd  0.822  0.466  0.593
Nd  0.930  0.042  0.700
Nd  0.958  0.300  0.070
Hg  0.154  0.358  0.763
Hg  0.237  0.846  0.642
Hg  0.358  0.763  0.154
Hg  0.642  0.237  0.846
Hg  0.763  0.154  0.358
Hg  0.846  0.642  0.237
Pt  0.500  0.500  0.500

---

Th6TcHg2 | PBE-GGA | relaxed

Values from the calculation:
- V (Å³ per atom) = 28.53
- E_tot (eV/cell) = -57.1
- DOS(E_F) (states/eV per cell) = 11.22
- ΔH_f (0 K) (eV per atom) = -0.1824
- theoretical density (g cm⁻³) = 12.23
- energy relative to the lowest polymorph listed for this composition (eV/atom) = 0.000

Unit cell a=8.809 b=8.809 c=3.821 alpha=90.00 beta=90.00 gamma=120.00
Positions (direct):
Th  0.000  0.244  0.000
Th  0.000  0.605  0.500
Th  0.244  0.000  0.000
Th  0.395  0.395  0.500
Th  0.605  0.000  0.500
Th  0.756  0.756  0.000
Tc  0.000  0.000  0.500
Hg  0.333  0.667  0.000
Hg  0.667  0.333  0.000

---

Li2PmCuF8 | PBE-GGA | relaxed

Values from the calculation:
- V (Å³ per atom) = 13.16
- E_tot (eV/cell) = -60.7
- theoretical density (g cm⁻³) = 3.94
- uncorrected formation energy (eV per atom) = -2.75

Unit cell a=3.913 b=5.235 c=7.789 alpha=94.43 beta=96.99 gamma=90.90
Positions (direct):
Li  0.069  0.066  0.198
Li  0.931  0.934  0.802
Pm  0.500  0.500  0.000
Cu  0.500  0.500  0.500
F  0.006  0.743  0.055
F  0.132  0.306  0.406
F  0.435  0.840  0.828
F  0.496  0.665  0.306
F  0.504  0.335  0.694
F  0.565  0.160  0.172
F  0.868  0.694  0.594
F  0.994  0.257  0.945